Record 1
16
Lattice="7.3401 0.0000 0.0000 0.0000 7.3401 0.0000 0.0000 0.0000 5.8815" Properties=species:S:1:pos:R:3 comment="CaVPd2 PBE-GGA optimized geometry" density_g_cm3=6.37 polymorph_energy_mev_per_atom=182.3 spacegroup="No. 122" e_form_kj_per_mol_atoms=2.4 pbc="T T T"
Ca 0.0000 0.0000 0.0000
Ca 0.0000 3.6700 1.4704
Ca 3.6700 0.0000 4.4111
Ca 3.6700 3.6700 2.9408
V 0.0000 0.0000 2.9408
V 0.0000 3.6700 4.4111
V 3.6700 0.0000 1.4704
V 3.6700 3.6700 0.0000
Pd 1.5247 1.8350 3.6759
Pd 1.8350 5.1947 5.1463
Pd 1.8350 5.8154 2.2056
Pd 2.1453 1.8350 0.7352
Pd 5.1947 5.5051 0.7352
Pd 5.5051 1.5247 2.2056
Pd 5.5051 2.1453 5.1463
Pd 5.8154 5.5051 3.6759

Record 2
6
Lattice="3.0592 0.0000 0.0000 0.6672 5.2836 0.0000 1.3051 1.1764 7.4902" Properties=species:S:1:pos:R:3 comment="CaVPd PBE-GGA optimized geometry" density_g_cm3=5.42 polymorph_energy_mev_per_atom=90.0 spacegroup="No. 1" e_form_kj_per_mol_atoms=-3.2 pbc="T T T"
Ca 0.0000 0.0000 0.0000
Ca 1.8493 3.7663 5.1651
V 1.1698 1.4407 2.6598
V 2.0106 2.6504 1.3838
Pd 2.8508 1.0900 4.8998
Pd 3.4555 4.4052 2.7145

Record 3
12
Lattice="8.6686 0.0000 0.0000 0.0000 4.7659 0.0000 -1.4644 0.0000 5.9598" Properties=species:S:1:pos:R:3 comment="CaVPd PBE-GGA optimized geometry" density_g_cm3=5.33 polymorph_energy_mev_per_atom=125.6 spacegroup="No. 8" e_form_kj_per_mol_atoms=0.3 pbc="T T T"
Ca 0.0000 0.0000 0.0000
Ca 1.5145 2.3829 1.8590
Ca 4.3343 2.3829 0.0000
Ca 5.8488 0.0000 1.8590
V 0.1028 2.3829 4.5236
V 2.8123 0.0000 3.5470
V 4.4371 0.0000 4.5236
V 7.1466 2.3829 3.5470
Pd -0.0166 0.0000 3.2975
Pd 1.3941 0.0000 5.8533
Pd 4.3178 2.3829 3.2975
Pd 5.7284 2.3829 5.8533

Record 4
12
Lattice="4.4810 0.0000 0.0000 0.0000 7.1558 0.0000 0.0000 0.0000 7.6663" Properties=species:S:1:pos:R:3 comment="CaVPd PBE-GGA optimized geometry" density_g_cm3=5.33 polymorph_energy_mev_per_atom=63.4 spacegroup="No. 44" e_form_kj_per_mol_atoms=-5.7 pbc="T T T"
Ca 0.0000 0.0000 0.0000
Ca 0.0000 3.5779 1.2240
Ca 2.2405 0.0000 5.0572
Ca 2.2405 3.5779 3.8332
V 0.0000 2.6096 5.7547
V 0.0000 4.5461 5.7547
V 2.2405 0.9682 1.9216
V 2.2405 6.1875 1.9216
Pd 0.0000 1.3294 3.3135
Pd 0.0000 5.8263 3.3135
Pd 2.2405 2.2485 7.1467
Pd 2.2405 4.9073 7.1467